# 1
Material: Tc2HgSe2
Method: DFT, PBE
State: relaxed

extended XYZ file:
```
10
Lattice="4.909 0.000 0.000 0.000 4.909 0.000 0.000 0.000 8.340" Properties=species:S:1:pos:R:3 pbc="T T T"
Tc 0.000 0.000 1.097
Tc 0.000 0.000 7.243
Tc 2.455 2.455 3.073
Tc 2.455 2.455 5.267
Hg 0.000 0.000 4.170
Hg 2.455 2.455 0.000
Se 0.000 2.455 2.085
Se 0.000 2.455 6.255
Se 2.455 0.000 2.085
Se 2.455 0.000 6.255
```

Summary:
As for the energy above the most stable polymorph in this dataset: 362.6 meV/atom. The energy is -5.336 eV/atom. The value obtained for the density of states at the Fermi level is 8.965 states/eV per cell.



# 2
Material: TcHg2Se
Method: DFT, PBE
State: relaxed

extended XYZ file:
```
4
Lattice="2.944 0.000 0.000 0.000 2.944 0.000 0.000 0.000 9.751" Properties=species:S:1:pos:R:3 pbc="T T T"
Tc 0.000 0.000 0.000
Hg 1.472 1.472 2.055
Hg 1.472 1.472 7.696
Se 0.000 0.000 4.876
```

Summary:
The energy is -2.994 eV/atom. The value obtained for the density of states at the Fermi level is 3.821 states/eV per cell.



# 3
Material: TcHgSe2
Method: DFT, PBE
State: relaxed

extended XYZ file:
```
4
Lattice="3.100 0.000 0.000 -1.550 2.685 0.000 0.000 0.000 10.882" Properties=species:S:1:pos:R:3 pbc="T T T"
Tc 0.000 0.000 0.000
Hg 1.550 0.895 5.771
Se 0.000 0.000 2.465
Se 0.000 1.790 9.230
```

Summary:
The energy is -4.405 eV/atom. The value obtained for the density of states at the Fermi level is 5.153 states/eV per cell.



# 4
Material: TcHgSe2
Method: DFT, PBE
State: relaxed

extended XYZ file:
```
12
Lattice="4.090 0.000 0.000 -2.045 3.542 0.000 0.000 0.000 21.404" Properties=species:S:1:pos:R:3 pbc="T T T"
Tc 0.000 0.000 0.000
Tc 0.000 2.362 14.269
Tc 2.045 1.181 7.135
Hg 0.000 0.000 10.876
Hg 0.000 2.362 3.741
Hg 2.045 1.181 18.010
Se 0.000 0.000 2.388
Se 0.000 0.000 13.642
Se 0.000 2.362 6.508
Se 0.000 2.362 16.657
Se 2.045 1.181 9.523
Se 2.045 1.181 20.777
```

Summary:
The energy is -4.224 eV/atom. The value obtained for the density of states at the Fermi level is 10.407 states/eV per cell.



# 5
Material: TcHgSe2
Method: DFT, PBE
State: relaxed

extended XYZ file:
```
12
Lattice="3.203 0.000 0.000 -1.601 2.774 0.000 0.000 0.000 31.757" Properties=species:S:1:pos:R:3 pbc="T T T"
Tc 0.000 0.000 0.000
Tc 0.000 1.849 21.171
Tc 1.601 0.925 10.586
Hg 0.000 0.000 15.878
Hg 0.000 1.849 5.293
Hg 1.601 0.925 26.464
Se 0.000 0.000 12.343
Se 0.000 0.000 19.414
Se 0.000 1.849 1.758
Se 0.000 1.849 8.828
Se 1.601 0.925 22.929
Se 1.601 0.925 29.999
```

Summary:
The energy is -4.555 eV/atom. The value obtained for the density of states at the Fermi level is 8.606 states/eV per cell.



# 6
Material: TcHgSe2
Method: DFT, PBE
State: relaxed

extended XYZ file:
```
16
Lattice="7.114 0.000 0.000 0.000 9.307 0.000 -3.119 0.000 5.216" Properties=species:S:1:pos:R:3 pbc="T T T"
Tc 0.000 0.824 0.000
Tc -1.560 8.483 2.608
Tc 1.997 3.830 2.608
Tc 3.557 5.477 0.000
Hg -0.271 0.843 4.756
Hg 1.289 8.465 2.148
Hg 4.846 3.811 2.148
Hg 3.286 5.496 4.756
Se 0.134 2.201 2.130
Se -1.425 7.106 4.738
Se 1.887 3.774 0.187
Se 0.327 5.533 2.795
Se 2.132 2.452 4.738
Se 3.691 6.855 2.130
Se 3.884 0.879 2.795
Se 5.444 8.428 0.187
```

Summary:
The energy is -4.314 eV/atom. The value obtained for the density of states at the Fermi level is 13.373 states/eV per cell.



# 7
Material: TcHgSe2
Method: DFT, PBE
State: relaxed

extended XYZ file:
```
4
Lattice="4.699 0.000 0.000 0.000 3.310 0.000 -2.345 0.000 5.990" Properties=species:S:1:pos:R:3 pbc="T T T"
Tc 0.000 0.000 0.000
Hg -0.006 1.655 2.456
Se 2.346 0.000 0.330
Se 2.344 1.655 4.192
```

Summary:
The energy is -4.412 eV/atom. The value obtained for the density of states at the Fermi level is 1.878 states/eV per cell.



# 8
Material: TcHgSe2
Method: DFT, PBE
State: relaxed

extended XYZ file:
```
4
Lattice="3.023 0.000 0.000 0.000 3.023 0.000 0.000 0.000 9.149" Properties=species:S:1:pos:R:3 pbc="T T T"
Tc 0.000 0.000 0.000
Hg 1.512 1.512 2.073
Se 0.000 0.000 4.580
Se 1.512 1.512 7.784
```

Summary:
The energy is -4.256 eV/atom. The value obtained for the density of states at the Fermi level is 3.280 states/eV per cell.



# 9
Material: Tc2HgSe2
Method: DFT, PBE
State: relaxed

extended XYZ file:
```
10
Lattice="3.848 0.000 0.000 0.000 3.848 0.000 0.000 0.000 17.714" Properties=species:S:1:pos:R:3 pbc="T T T"
Tc 0.000 1.924 4.429
Tc 0.000 1.924 13.286
Tc 1.924 0.000 4.429
Tc 1.924 0.000 13.286
Hg 0.000 0.000 0.000
Hg 1.924 1.924 8.857
Se 0.000 0.000 6.029
Se 0.000 0.000 11.685
Se 1.924 1.924 2.828
Se 1.924 1.924 14.887
```

Summary:
As for the energy above the most stable polymorph in this dataset: 0.0 meV/atom. The energy is -5.699 eV/atom. The value obtained for the density of states at the Fermi level is 6.516 states/eV per cell.



# 10
Material: TcHg2Se
Method: DFT, PBE
State: relaxed

extended XYZ file:
```
16
Lattice="6.901 0.000 0.000 0.000 6.901 0.000 0.000 0.000 6.901" Properties=species:S:1:pos:R:3 pbc="T T T"
Tc 0.000 0.000 0.000
Tc 0.000 3.450 3.450
Tc 3.450 0.000 3.450
Tc 3.450 3.450 0.000
Hg 0.000 0.000 3.450
Hg 0.000 3.450 0.000
Hg 1.725 1.725 5.175
Hg 1.725 5.175 1.725
Hg 3.450 0.000 0.000
Hg 3.450 3.450 3.450
Hg 5.175 1.725 1.725
Hg 5.175 5.175 5.175
Se 1.725 1.725 1.725
Se 1.725 5.175 5.175
Se 5.175 1.725 5.175
Se 5.175 5.175 1.725
```

Summary:
The energy is -2.919 eV/atom. The value obtained for the density of states at the Fermi level is 11.902 states/eV per cell.



# 11
Material: TcHg2Se
Method: DFT, PBE
State: relaxed

extended XYZ file:
```
8
Lattice="3.061 0.000 0.000 0.000 4.845 0.000 0.000 0.000 12.494" Properties=species:S:1:pos:R:3 pbc="T T T"
Tc 0.000 0.000 0.000
Tc 1.531 2.422 6.247
Hg 0.000 0.000 6.593
Hg 0.000 2.422 8.715
Hg 1.531 0.000 2.468
Hg 1.531 2.422 0.346
Se 0.000 2.422 4.371
Se 1.531 0.000 10.618
```

Summary:
The energy is -3.419 eV/atom. The value obtained for the density of states at the Fermi level is 5.449 states/eV per cell.



# 12
Material: TcHgSe2
Method: DFT, PBE
State: relaxed

extended XYZ file:
```
16
Lattice="6.879 0.000 0.000 0.000 6.879 0.000 0.000 0.000 9.921" Properties=species:S:1:pos:R:3 pbc="T T T"
Tc 0.000 0.000 0.000
Tc 0.000 3.440 2.480
Tc 3.440 0.000 7.441
Tc 3.440 3.440 4.960
Hg 0.000 0.000 4.960
Hg 0.000 3.440 7.441
Hg 3.440 0.000 2.480
Hg 3.440 3.440 0.000
Se 1.039 1.720 1.240
Se 1.720 4.479 3.720
Se 1.720 5.840 8.681
Se 2.401 1.720 6.200
Se 4.479 5.159 6.200
Se 5.159 1.039 8.681
Se 5.159 2.401 3.720
Se 5.840 5.159 1.240
```

Summary:
The energy is -4.333 eV/atom. The value obtained for the density of states at the Fermi level is 8.477 states/eV per cell.



Q: Which value of energy does entry 11 give?
A: -3.419 eV/atom



Q: What is the formula in the second record?
A: TcHg2Se



Q: Which of these has the lowest energy?
A: number 9



Q: Which value of energy does entry 6 give?
A: -4.314 eV/atom